AlZn2F: relaxed, PBE-GGA.

Calculated values
Distance to the lowest polymorph of the same formula (kJ/mol of formula units): 72
Crystal system: cubic
Formation energy from raw total energies (meV per atom): -314
Total magnetic moment (μB/atom): 0.00
Total energy (eV/atom): -2.35

abc: 4.490 4.490 4.490
angles: 60.00 60.00 60.00
Element x y z (fractional)
Zn: 0.250 0.250 0.250
Zn: 0.750 0.750 0.750
Al: 0.500 0.500 0.500
F: 0.000 0.000 0.000